1.
Computed, not measured: a geometry-optimized LiMn2Cu structure at the PBEsol level of DFT.

- crystal system = tetragonal
- DFT formation energy (eV per atom) = 0.445
- D(E_F) (states/eV per cell) = 2.90

Structure (CIF):
```
data_LiMn2Cu
_chemical_formula_sum 'Li1 Mn2 Cu1'
_cell_length_a 4.041
_cell_length_b 4.041
_cell_length_c 3.089
_cell_angle_alpha 90.00
_cell_angle_beta 90.00
_cell_angle_gamma 90.00
_symmetry_space_group_name_H-M 'P 4/m m m'
_symmetry_Int_Tables_number 123
_symmetry_space_group_name_Hall '-P 4 2'
loop_
_atom_site_label
_atom_site_fract_x
_atom_site_fract_y
_atom_site_fract_z
Li1 0.000 0.000 0.000
Mn1 0.000 0.500 0.500
Cu1 0.500 0.500 0.000
```

***

2.
Computed, not measured: a geometry-optimized Cs2TeRh2 structure at the PBEsol level of DFT.

- formation energy from raw total energies (meV per atom) = 972
- crystal system = tetragonal
- D(E_F) (states/eV per cell) = 12.31

Structure (CIF):
```
data_Cs2TeRh2
_chemical_formula_sum 'Cs4 Te2 Rh4'
_cell_length_a 4.859
_cell_length_b 4.859
_cell_length_c 11.864
_cell_angle_alpha 90.00
_cell_angle_beta 90.00
_cell_angle_gamma 90.00
_symmetry_space_group_name_H-M 'I 4/m m m'
_symmetry_Int_Tables_number 139
_symmetry_space_group_name_Hall '-I 4 2'
loop_
_atom_site_label
_atom_site_fract_x
_atom_site_fract_y
_atom_site_fract_z
Cs1 0.000 0.500 0.250
Te1 0.000 0.000 0.000
Rh1 0.000 0.000 0.400
```

***

3.
Computed, not measured: a geometry-optimized Hf2TcH2 structure at the PBEsol level of DFT.

- crystal system = tetragonal
- energy (eV/atom) = -8.314
- D(E_F) (states/eV per cell) = 3.97

Structure (CIF):
```
data_Hf2TcH2
_chemical_formula_sum 'Hf4 Tc2 H4'
_cell_length_a 3.234
_cell_length_b 3.234
_cell_length_c 11.444
_cell_angle_alpha 90.00
_cell_angle_beta 90.00
_cell_angle_gamma 90.00
_symmetry_space_group_name_H-M 'I 4/m m m'
_symmetry_Int_Tables_number 139
_symmetry_space_group_name_Hall '-I 4 2'
loop_
_atom_site_label
_atom_site_fract_x
_atom_site_fract_y
_atom_site_fract_z
Hf1 0.000 0.000 0.137
Tc1 0.000 0.000 0.500
H1 0.000 0.500 0.250
```

***

4.
Computed, not measured: a geometry-optimized Li7ZrO6 structure at the PBEsol level of DFT.

- formation energy from raw total energies (meV per atom) = -2096
- crystal system = trigonal
- D(E_F) (states/eV per cell) = 30.75

Structure (CIF):
```
data_Li7ZrO6
_chemical_formula_sum 'Li21 Zr3 O18'
_cell_length_a 5.5896
_cell_length_b 5.5896
_cell_length_c 14.9613
_cell_angle_alpha 90.00
_cell_angle_beta 90.00
_cell_angle_gamma 120.00
_symmetry_space_group_name_H-M 'R 3'
_symmetry_Int_Tables_number 146
_symmetry_space_group_name_Hall 'R 3'
loop_
_atom_site_label
_atom_site_fract_x
_atom_site_fract_y
_atom_site_fract_z
Li1 0.0000 0.0000 0.0000
Li2 0.0092 0.6216 0.4637
Li3 0.0131 0.2878 0.5643
Zr1 0.0000 0.0000 0.3476
O1 0.0457 0.3643 0.0993
O2 0.0473 0.7030 0.9308
```

***

5.
Computed, not measured: a geometry-optimized CaGa2Pt structure at the PBEsol level of DFT.

- crystal system = cubic
- DFT formation energy (eV per atom) = -0.609
- D(E_F) (states/eV per cell) = 3.71

Structure (CIF):
```
data_CaGa2Pt
_chemical_formula_sum 'Ca4 Ga8 Pt4'
_cell_length_a 6.468
_cell_length_b 6.468
_cell_length_c 6.468
_cell_angle_alpha 90.00
_cell_angle_beta 90.00
_cell_angle_gamma 90.00
_symmetry_space_group_name_H-M 'F m -3 m'
_symmetry_Int_Tables_number 225
_symmetry_space_group_name_Hall '-F 4 2 3'
loop_
_atom_site_label
_atom_site_fract_x
_atom_site_fract_y
_atom_site_fract_z
Ca1 0.000 0.000 0.000
Ga1 0.250 0.250 0.250
Pt1 0.000 0.000 0.500
```

***

6.
Computed, not measured: a geometry-optimized Ba3Re structure at the PBEsol level of DFT.

- crystal system = orthorhombic
- DFT formation energy (eV per atom) = 1.097
- D(E_F) (states/eV per cell) = 4.53

Structure (CIF):
```
data_Ba3Re
_chemical_formula_sum 'Ba3 Re1'
_cell_length_a 4.761
_cell_length_b 4.955
_cell_length_c 6.100
_cell_angle_alpha 90.00
_cell_angle_beta 90.00
_cell_angle_gamma 90.00
_symmetry_space_group_name_H-M 'P m m 2'
_symmetry_Int_Tables_number 25
_symmetry_space_group_name_Hall 'P 2 -2'
loop_
_atom_site_label
_atom_site_fract_x
_atom_site_fract_y
_atom_site_fract_z
Ba1 0.000 0.000 0.000
Ba2 0.000 0.500 0.465
Ba3 0.500 0.000 0.577
Re1 0.500 0.500 0.858
```

***

7.
Computed, not measured: a geometry-optimized ZrTaBeRh2 structure at the PBEsol level of DFT.

- crystal system = tetragonal
- DFT formation energy (eV per atom) = 0.825
- D(E_F) (states/eV per cell) = 4.78

Structure (CIF):
```
data_ZrTaBeRh2
_chemical_formula_sum 'Zr1 Ta1 Be1 Rh2'
_cell_length_a 4.624
_cell_length_b 4.624
_cell_length_c 4.385
_cell_angle_alpha 90.00
_cell_angle_beta 90.00
_cell_angle_gamma 90.00
_symmetry_space_group_name_H-M 'P 4/m m m'
_symmetry_Int_Tables_number 123
_symmetry_space_group_name_Hall '-P 4 2'
loop_
_atom_site_label
_atom_site_fract_x
_atom_site_fract_y
_atom_site_fract_z
Zr1 0.000 0.000 0.000
Ta1 0.500 0.500 0.500
Be1 0.500 0.500 0.000
Rh1 0.000 0.500 0.500
```

***

8.
Computed, not measured: a geometry-optimized Mn2H2Au structure at the PBEsol level of DFT.

- crystal system = tetragonal
- energy (eV/atom) = -5.954
- D(E_F) (states/eV per cell) = 6.14

Structure (CIF):
```
data_Mn2H2Au
_chemical_formula_sum 'Mn4 H4 Au2'
_cell_length_a 2.817
_cell_length_b 2.817
_cell_length_c 11.848
_cell_angle_alpha 90.00
_cell_angle_beta 90.00
_cell_angle_gamma 90.00
_symmetry_space_group_name_H-M 'I 4/m m m'
_symmetry_Int_Tables_number 139
_symmetry_space_group_name_Hall '-I 4 2'
loop_
_atom_site_label
_atom_site_fract_x
_atom_site_fract_y
_atom_site_fract_z
Mn1 0.000 0.000 0.160
H1 0.000 0.500 0.250
Au1 0.000 0.000 0.500
```

***

> Which formula does entry 5 have?

CaGa2Pt

***

> Look up the D(E_F) of the second one.

12.31 states/eV per cell

***

> D(E_F) of number 3 (Hf2TcH2)?

3.97 states/eV per cell

***

> Which of these has the highest D(E_F)?

Li7ZrO6